(1)
Compound: DyTm3Ag2
Source: the Alexandria database
Functional: GGA-PBE
Structure: relaxed

Cell lengths 6.9768, 13.8306, 7.3042 Å; angles 90.00, 90.00, 90.00 degrees
Space group Ibam (No. 72)
Symmetry-distinct sites (fractional):
Dy (0.0000, 0.0000, 0.0000) x4
Tm (0.0000, 0.2288, 0.2500) x8
Tm (0.0000, 0.5000, 0.2500) x4
Ag (0.2004, 0.3574, 0.0000) x8

ΔE_f = 0.024 eV/atom
energy relative to the lowest polymorph listed for this composition = 233.5 meV per atom
magnetization = 0.00 μB per cell



(2)
Compound: SmGeB
Source: the Alexandria database
Functional: GGA-PBE
Structure: relaxed

Cell lengths 11.5924, 3.6438, 5.1637 Å; angles 90.00, 103.44, 90.00 degrees
Space group C2/m (No. 12)
Symmetry-distinct sites (fractional):
Sm (0.1238, 0.0000, 0.3016) x4
Ge (0.1209, 0.5000, 0.8023) x4
B (0.2297, 0.0000, 0.8298) x4

ΔE_f = -0.252 eV/atom
energy relative to the lowest polymorph listed for this composition = 227.9 meV per atom
magnetization = 0.00 μB per cell



(3)
Compound: Co2Ru
Source: the Alexandria database
Functional: GGA-PBE
Structure: relaxed

Cell lengths 4.0950, 4.0950, 5.0431 Å; angles 90.00, 90.00, 120.00 degrees
Space group P6_3/mmc (No. 194)
Symmetry-distinct sites (fractional):
Co (0.0000, 0.0000, 0.0000) x2
Co (0.3333, 0.6667, 0.2500) x2
Ru (0.3333, 0.6667, 0.7500) x2

ΔE_f = 0.280 eV/atom
energy relative to the lowest polymorph listed for this composition = 157.3 meV per atom
magnetization = 6.80 μB per cell



(4)
Compound: NaReBi3
Source: the Alexandria database
Functional: GGA-PBE
Structure: relaxed

Cell lengths 5.4491, 5.4491, 5.4491 Å; angles 90.00, 90.00, 90.00 degrees
Space group Pm-3m (No. 221)
Symmetry-distinct sites (fractional):
Na (0.0000, 0.0000, 0.0000) x1
Re (0.5000, 0.5000, 0.5000) x1
Bi (0.0000, 0.5000, 0.5000) x3

ΔE_f = 0.609 eV/atom
energy relative to the lowest polymorph listed for this composition = 0.0 meV per atom
magnetization = 1.01 μB per cell



Please write out number 3 again, unchanged.
Compound: Co2Ru
Source: the Alexandria database
Functional: GGA-PBE
Structure: relaxed

Cell lengths 4.0950, 4.0950, 5.0431 Å; angles 90.00, 90.00, 120.00 degrees
Space group P6_3/mmc (No. 194)
Symmetry-distinct sites (fractional):
Co (0.0000, 0.0000, 0.0000) x2
Co (0.3333, 0.6667, 0.2500) x2
Ru (0.3333, 0.6667, 0.7500) x2

ΔE_f = 0.280 eV/atom
energy relative to the lowest polymorph listed for this composition = 157.3 meV per atom
magnetization = 6.80 μB per cell